A plane-wave DFT calculation with GGA-PBE was carried out for a relaxed structure of CaYTlAu.

Energy above the lowest structure with this stoichiometry: 0.000 eV/atom
DFT total energy: -0.305 Ry per atom
Space-group type: No. 99

Geometry as CIF:
```
data_CaYTlAu
_chemical_formula_sum 'Ca1 Y1 Tl1 Au1'
_cell_length_a 3.719
_cell_length_b 3.719
_cell_length_c 7.579
_cell_angle_alpha 90.00
_cell_angle_beta 90.00
_cell_angle_gamma 90.00
_symmetry_space_group_name_H-M 'P 1'
_symmetry_Int_Tables_number 1
loop_
_symmetry_equiv_pos_as_xyz
'x,y,z'
loop_
_atom_site_label
_atom_site_fract_x
_atom_site_fract_y
_atom_site_fract_z
_atom_site_occupancy
Tl1 0.500 0.500 0.097 1
Y1 0.000 0.000 0.832 1
Au1 0.500 0.500 0.627 1
Ca1 0.000 0.000 0.372 1
```


A plane-wave DFT calculation with GGA-PBE was carried out for a relaxed structure of CaYTlAu.

Energy above the lowest structure with this stoichiometry: 0.042 eV/atom
DFT total energy: -0.302 Ry per atom
Space-group type: No. 216

Geometry as CIF:
```
data_CaYTlAu
_chemical_formula_sum 'Ca1 Y1 Tl1 Au1'
_cell_length_a 5.262
_cell_length_b 5.262
_cell_length_c 5.262
_cell_angle_alpha 60.00
_cell_angle_beta 60.00
_cell_angle_gamma 60.00
_symmetry_space_group_name_H-M 'P 1'
_symmetry_Int_Tables_number 1
loop_
_symmetry_equiv_pos_as_xyz
'x,y,z'
loop_
_atom_site_label
_atom_site_fract_x
_atom_site_fract_y
_atom_site_fract_z
_atom_site_occupancy
Au1 0.750 0.750 0.750 1
Y1 0.500 0.500 0.500 1
Ca1 0.000 0.000 0.000 1
Tl1 0.250 0.250 0.250 1
```


A plane-wave DFT calculation with GGA-PBE was carried out for a relaxed structure of Ca2TlZnAu6.

DFT total energy: -0.207 Ry per atom
Space-group type: No. 225

Geometry as CIF:
```
data_Ca2TlZnAu6
_chemical_formula_sum 'Ca2 Tl1 Zn1 Au6'
_cell_length_a 7.196
_cell_length_b 7.196
_cell_length_c 7.196
_cell_angle_alpha 60.00
_cell_angle_beta 60.00
_cell_angle_gamma 90.00
_symmetry_space_group_name_H-M 'P 1'
_symmetry_Int_Tables_number 1
loop_
_symmetry_equiv_pos_as_xyz
'x,y,z'
loop_
_atom_site_label
_atom_site_fract_x
_atom_site_fract_y
_atom_site_fract_z
_atom_site_occupancy
Au1 0.262 0.262 0.477 1
Au2 0.262 0.738 0.000 1
Au3 0.738 0.738 0.523 1
Au4 0.262 0.262 0.000 1
Au5 0.738 0.262 0.000 1
Au6 0.738 0.738 0.000 1
Ca1 0.250 0.750 0.500 1
Ca2 0.750 0.250 0.500 1
Tl1 0.000 0.000 0.000 1
Zn1 0.500 0.500 0.000 1
```


A plane-wave DFT calculation with GGA-PBE was carried out for a relaxed structure of CaTm2Au2.

DFT total energy: -0.309 Ry per atom
Space-group type: No. 127

Geometry as CIF:
```
data_CaTm2Au2
_chemical_formula_sum 'Ca2 Tm4 Au4'
_cell_length_a 3.745
_cell_length_b 8.210
_cell_length_c 8.210
_cell_angle_alpha 90.00
_cell_angle_beta 90.00
_cell_angle_gamma 90.00
_symmetry_space_group_name_H-M 'P 1'
_symmetry_Int_Tables_number 1
loop_
_symmetry_equiv_pos_as_xyz
'x,y,z'
loop_
_atom_site_label
_atom_site_fract_x
_atom_site_fract_y
_atom_site_fract_z
_atom_site_occupancy
Ca1 0.500 0.000 0.500 1
Ca2 0.500 0.500 0.000 1
Au1 0.500 0.861 0.139 1
Au2 0.500 0.361 0.361 1
Au3 0.500 0.639 0.639 1
Au4 0.500 0.139 0.861 1
Tm1 0.000 0.154 0.154 1
Tm2 0.000 0.346 0.654 1
Tm3 0.000 0.846 0.846 1
Tm4 0.000 0.654 0.346 1
```


A plane-wave DFT calculation with GGA-PBE was carried out for a relaxed structure of CaTmAu2.

DFT total energy: -0.302 Ry per atom
Space-group type: No. 123

Geometry as CIF:
```
data_CaTmAu2
_chemical_formula_sum 'Ca1 Tm1 Au2'
_cell_length_a 3.588
_cell_length_b 3.588
_cell_length_c 7.266
_cell_angle_alpha 90.00
_cell_angle_beta 90.00
_cell_angle_gamma 90.00
_symmetry_space_group_name_H-M 'P 1'
_symmetry_Int_Tables_number 1
loop_
_symmetry_equiv_pos_as_xyz
'x,y,z'
loop_
_atom_site_label
_atom_site_fract_x
_atom_site_fract_y
_atom_site_fract_z
_atom_site_occupancy
Ca1 0.500 0.500 0.500 1
Au1 0.000 0.000 0.224 1
Au2 0.000 0.000 0.776 1
Tm1 0.500 0.500 0.000 1
```


A plane-wave DFT calculation with GGA-PBE was carried out for a relaxed structure of CaTmAu6.

DFT total energy: -0.285 Ry per atom
Space-group type: No. 12

Geometry as CIF:
```
data_CaTmAu6
_chemical_formula_sum 'Ca1 Tm1 Au6'
_cell_length_a 4.401
_cell_length_b 5.170
_cell_length_c 8.123
_cell_angle_alpha 79.95
_cell_angle_beta 74.28
_cell_angle_gamma 64.81
_symmetry_space_group_name_H-M 'P 1'
_symmetry_Int_Tables_number 1
loop_
_symmetry_equiv_pos_as_xyz
'x,y,z'
loop_
_atom_site_label
_atom_site_fract_x
_atom_site_fract_y
_atom_site_fract_z
_atom_site_occupancy
Au1 0.246 0.876 0.632 1
Au2 0.496 0.761 0.247 1
Au3 0.754 0.124 0.368 1
Au4 0.504 0.239 0.753 1
Au5 0.251 0.378 0.121 1
Au6 0.749 0.622 0.879 1
Tm1 0.000 0.000 0.000 1
Ca1 0.000 0.500 0.500 1
```


A plane-wave DFT calculation with GGA-PBE was carried out for a relaxed structure of CaTmAu2.

DFT total energy: -0.292 Ry per atom
Space-group type: No. 160

Geometry as CIF:
```
data_CaTmAu2
_chemical_formula_sum 'Ca1 Tm1 Au2'
_cell_length_a 4.051
_cell_length_b 4.051
_cell_length_c 7.779
_cell_angle_alpha 74.91
_cell_angle_beta 74.91
_cell_angle_gamma 60.00
_symmetry_space_group_name_H-M 'P 1'
_symmetry_Int_Tables_number 1
loop_
_symmetry_equiv_pos_as_xyz
'x,y,z'
loop_
_atom_site_label
_atom_site_fract_x
_atom_site_fract_y
_atom_site_fract_z
_atom_site_occupancy
Au1 0.078 0.078 0.767 1
Au2 0.256 0.256 0.233 1
Tm1 0.668 0.668 0.996 1
Ca1 0.499 0.499 0.504 1
```


A plane-wave DFT calculation with GGA-PBE was carried out for a relaxed structure of CaTm2Au.

Energy above the lowest structure with this stoichiometry: 0.096 eV/atom
DFT total energy: -0.281 Ry per atom
Space-group type: No. 166

Geometry as CIF:
```
data_CaTm2Au
_chemical_formula_sum 'Ca1 Tm2 Au1'
_cell_length_a 3.821
_cell_length_b 3.821
_cell_length_c 10.199
_cell_angle_alpha 79.20
_cell_angle_beta 79.20
_cell_angle_gamma 60.00
_symmetry_space_group_name_H-M 'P 1'
_symmetry_Int_Tables_number 1
loop_
_symmetry_equiv_pos_as_xyz
'x,y,z'
loop_
_atom_site_label
_atom_site_fract_x
_atom_site_fract_y
_atom_site_fract_z
_atom_site_occupancy
Au1 0.000 0.000 0.000 1
Tm1 0.729 0.729 0.812 1
Tm2 0.271 0.271 0.188 1
Ca1 0.500 0.500 0.500 1
```


A plane-wave DFT calculation with GGA-PBE was carried out for a relaxed structure of Ca2TmAu6.

DFT total energy: -0.281 Ry per atom
Space-group type: No. 12

Geometry as CIF:
```
data_Ca2TmAu6
_chemical_formula_sum 'Ca2 Tm1 Au6'
_cell_length_a 5.309
_cell_length_b 5.283
_cell_length_c 8.395
_cell_angle_alpha 71.66
_cell_angle_beta 80.88
_cell_angle_gamma 59.77
_symmetry_space_group_name_H-M 'P 1'
_symmetry_Int_Tables_number 1
loop_
_symmetry_equiv_pos_as_xyz
'x,y,z'
loop_
_atom_site_label
_atom_site_fract_x
_atom_site_fract_y
_atom_site_fract_z
_atom_site_occupancy
Au1 0.841 0.490 0.174 1
Au2 0.669 0.673 0.500 1
Au3 0.159 0.836 0.174 1
Au4 0.331 0.327 0.500 1
Au5 0.159 0.510 0.826 1
Au6 0.841 0.164 0.826 1
Ca1 0.500 0.833 0.834 1
Ca2 0.500 0.167 0.166 1
Tm1 0.000 0.000 0.500 1
```


A plane-wave DFT calculation with GGA-PBE was carried out for a relaxed structure of CaTmAu4.

Energy above the lowest structure with this stoichiometry: 0.025 eV/atom
DFT total energy: -0.295 Ry per atom
Space-group type: No. 38

Geometry as CIF:
```
data_CaTmAu4
_chemical_formula_sum 'Ca1 Tm1 Au4'
_cell_length_a 5.109
_cell_length_b 3.811
_cell_length_c 7.453
_cell_angle_alpha 90.00
_cell_angle_beta 90.00
_cell_angle_gamma 111.88
_symmetry_space_group_name_H-M 'P 1'
_symmetry_Int_Tables_number 1
loop_
_symmetry_equiv_pos_as_xyz
'x,y,z'
loop_
_atom_site_label
_atom_site_fract_x
_atom_site_fract_y
_atom_site_fract_z
_atom_site_occupancy
Au1 0.963 0.602 0.791 1
Au2 0.541 0.893 0.688 1
Au3 0.541 0.893 0.308 1
Au4 0.963 0.602 0.205 1
Tm1 0.127 0.185 0.498 1
Ca1 0.373 0.308 0.998 1
```


A plane-wave DFT calculation with GGA-PBE was carried out for a relaxed structure of CaTmAu4.

Energy above the lowest structure with this stoichiometry: 0.000 eV/atom
DFT total energy: -0.297 Ry per atom
Space-group type: No. 12

Geometry as CIF:
```
data_CaTmAu4
_chemical_formula_sum 'Ca1 Tm1 Au4'
_cell_length_a 3.728
_cell_length_b 5.240
_cell_length_c 7.513
_cell_angle_alpha 99.88
_cell_angle_beta 104.36
_cell_angle_gamma 110.84
_symmetry_space_group_name_H-M 'P 1'
_symmetry_Int_Tables_number 1
loop_
_symmetry_equiv_pos_as_xyz
'x,y,z'
loop_
_atom_site_label
_atom_site_fract_x
_atom_site_fract_y
_atom_site_fract_z
_atom_site_occupancy
Tm1 0.498 0.997 0.502 1
Au1 0.322 0.486 0.662 1
Au2 0.154 0.989 0.822 1
Au3 0.842 0.006 0.181 1
Au4 0.673 0.509 0.342 1
Ca1 0.998 0.497 0.002 1
```


A plane-wave DFT calculation with GGA-PBE was carried out for a relaxed structure of CaTm5Au6.

DFT total energy: -0.334 Ry per atom
Space-group type: No. 12

Geometry as CIF:
```
data_CaTm5Au6
_chemical_formula_sum 'Ca1 Tm5 Au6'
_cell_length_a 5.030
_cell_length_b 7.117
_cell_length_c 8.723
_cell_angle_alpha 114.08
_cell_angle_beta 106.54
_cell_angle_gamma 90.00
_symmetry_space_group_name_H-M 'P 1'
_symmetry_Int_Tables_number 1
loop_
_symmetry_equiv_pos_as_xyz
'x,y,z'
loop_
_atom_site_label
_atom_site_fract_x
_atom_site_fract_y
_atom_site_fract_z
_atom_site_occupancy
Tm1 0.332 0.332 0.664 1
Tm2 0.000 0.500 0.000 1
Tm3 0.668 0.668 0.336 1
Tm4 0.662 0.162 0.324 1
Tm5 0.338 0.838 0.676 1
Au1 0.172 0.913 0.345 1
Au2 0.500 0.265 0.000 1
Au3 0.172 0.432 0.345 1
Au4 0.828 0.087 0.655 1
Au5 0.828 0.568 0.655 1
Au6 0.500 0.735 0.000 1
Ca1 0.000 0.000 0.000 1
```